No. 1
{"formula": "TaNb2Cu", "functional": "PBE", "state": "relaxed", "e_form_ev_per_atom": 0.484, "crystal_system": "trigonal", "energy_ev_per_atom": -8.54, "spacegroup": "R-3m, No. 166", "cell": [[2.868, 0.000, 0.000], [1.434, 2.484, 0.000], [1.434, 0.828, 10.008]], "species": ["Nb", "Nb", "Cu", "Ta"], "fractional_positions": [[0.091, 0.091, 0.727], [0.909, 0.909, 0.273], [0.500, 0.500, 0.500], [0.000, 0.000, 0.000]]}

No. 2
{"formula": "AcLa2Pm2Pr", "functional": "PBE", "state": "relaxed", "e_form_ev_per_atom": 0.240, "crystal_system": "orthorhombic", "energy_ev_per_atom": -4.47, "spacegroup": "Pnnm, No. 58", "cell": [[-2.701, 0.443, -2.305], [1.460, -5.973, -2.859], [-11.654, -8.595, 12.005]], "species": ["La", "La", "La", "La", "Pm", "Pm", "Pm", "Pm", "Pr", "Pr", "Ac", "Ac"], "fractional_positions": [[0.000, 0.200, 0.810], [0.500, 0.700, 0.690], [0.500, 0.300, 0.310], [0.000, 0.800, 0.190], [0.000, 0.307, 0.148], [0.000, 0.693, 0.852], [0.500, 0.193, 0.648], [0.500, 0.807, 0.352], [0.000, 0.000, 0.500], [0.500, 0.500, 0.000], [0.000, 0.000, 0.000], [0.500, 0.500, 0.500]]}

Please write out number 1 again, unchanged.
{"formula": "TaNb2Cu", "functional": "PBE", "state": "relaxed", "e_form_ev_per_atom": 0.484, "crystal_system": "trigonal", "energy_ev_per_atom": -8.54, "spacegroup": "R-3m, No. 166", "cell": [[2.868, 0.000, 0.000], [1.434, 2.484, 0.000], [1.434, 0.828, 10.008]], "species": ["Nb", "Nb", "Cu", "Ta"], "fractional_positions": [[0.091, 0.091, 0.727], [0.909, 0.909, 0.273], [0.500, 0.500, 0.500], [0.000, 0.000, 0.000]]}

Repeat the first record exactly.
{"formula": "TaNb2Cu", "functional": "PBE", "state": "relaxed", "e_form_ev_per_atom": 0.484, "crystal_system": "trigonal", "energy_ev_per_atom": -8.54, "spacegroup": "R-3m, No. 166", "cell": [[2.868, 0.000, 0.000], [1.434, 2.484, 0.000], [1.434, 0.828, 10.008]], "species": ["Nb", "Nb", "Cu", "Ta"], "fractional_positions": [[0.091, 0.091, 0.727], [0.909, 0.909, 0.273], [0.500, 0.500, 0.500], [0.000, 0.000, 0.000]]}